{
  "formula": "K2ZnCr2H4O10",
  "functional": "PBE with a Hubbard U",
  "state": "relaxed",
  "crystal_system": "monoclinic",
  "dos_at_fermi_per_ev_atom": 0.00,
  "e_tot_ev_per_atom": -5.656,
  "vol_a3_per_fu": 247,
  "mass_density_g_cm3": 2.77,
  "lattice": [[8.059, 0.005, 0.026], [6.025, 5.353, 0.026], [4.978, 1.894, 11.457]],
  "species": ["Cr", "Cr", "Cr", "Cr", "K", "K", "K", "K", "Zn", "Zn", "O", "O", "O", "O", "O", "O", "O", "O", "O", "O", "O", "O", "O", "O", "O", "O", "O", "O", "O", "O", "H", "H", "H", "H", "H", "H", "H", "H"],
  "frac_coords": [[0.467, 0.758, 0.791], [0.533, 0.242, 0.209], [0.242, 0.533, 0.709], [0.758, 0.467, 0.291], [0.699, 0.037, 0.543], [0.301, 0.963, 0.457], [0.963, 0.301, 0.957], [0.037, 0.699, 0.043], [0.858, 0.142, 0.750], [0.142, 0.858, 0.250], [0.529, 0.802, 0.646], [0.471, 0.198, 0.354], [0.198, 0.471, 0.854], [0.802, 0.529, 0.146], [0.566, 0.826, 0.842], [0.434, 0.174, 0.158], [0.174, 0.434, 0.658], [0.826, 0.566, 0.342], [0.548, 0.375, 0.660], [0.452, 0.625, 0.340], [0.625, 0.452, 0.840], [0.375, 0.548, 0.160], [0.849, 0.056, 0.163], [0.151, 0.944, 0.837], [0.944, 0.151, 0.337], [0.056, 0.849, 0.663], [0.684, 0.027, 0.889], [0.316, 0.973, 0.111], [0.973, 0.316, 0.611], [0.027, 0.684, 0.389], [0.672, 0.933, 0.865], [0.328, 0.067, 0.135], [0.067, 0.328, 0.635], [0.933, 0.672, 0.365], [0.505, 0.193, 0.898], [0.495, 0.807, 0.102], [0.807, 0.495, 0.602], [0.193, 0.505, 0.398]]
}